(1)
# Sm2DyTc (PBE-GGA, relaxed)
data_Sm2DyTc
_space_group_name_H-M_alt 'P 1'
_space_group_IT_number 1
_cell_length_a 6.370
_cell_length_b 7.436
_cell_length_c 9.415
_cell_angle_alpha 90.00
_cell_angle_beta 90.00
_cell_angle_gamma 90.00
loop_
_space_group_symop_operation_xyz
'x,y,z'
loop_
_atom_site_label
_atom_site_type_symbol
_atom_site_fract_x
_atom_site_fract_y
_atom_site_fract_z
Sm1 Sm 0.165 0.677 0.064
Sm2 Sm 0.335 0.177 0.436
Sm3 Sm 0.835 0.323 0.564
Sm4 Sm 0.665 0.823 0.936
Sm5 Sm 0.835 0.323 0.936
Sm6 Sm 0.665 0.823 0.564
Sm7 Sm 0.165 0.677 0.436
Sm8 Sm 0.335 0.177 0.064
Dy1 Dy 0.634 0.546 0.250
Dy2 Dy 0.866 0.046 0.250
Dy3 Dy 0.366 0.454 0.750
Dy4 Dy 0.134 0.954 0.750
Tc1 Tc 0.036 0.389 0.250
Tc2 Tc 0.464 0.889 0.250
Tc3 Tc 0.964 0.611 0.750
Tc4 Tc 0.536 0.111 0.750
# raw total energy = -24.6 eV per formula unit


(2)
# TiMoIr2 (PBE-GGA, relaxed)
data_TiMoIr2
_space_group_name_H-M_alt 'P 1'
_space_group_IT_number 1
_cell_length_a 2.816
_cell_length_b 2.816
_cell_length_c 7.600
_cell_angle_alpha 90.00
_cell_angle_beta 90.00
_cell_angle_gamma 90.00
loop_
_space_group_symop_operation_xyz
'x,y,z'
loop_
_atom_site_label
_atom_site_type_symbol
_atom_site_fract_x
_atom_site_fract_y
_atom_site_fract_z
Mo1 Mo 0.500 0.500 0.500
Ir1 Ir 0.000 0.000 0.750
Ir2 Ir 0.000 0.000 0.250
Ti1 Ti 0.500 0.500 0.000
# raw total energy = -38.5 eV per formula unit


(3)
# CaTaAg (PBE-GGA, relaxed)
data_CaTaAg
_space_group_name_H-M_alt 'P 1'
_space_group_IT_number 1
_cell_length_a 7.073
_cell_length_b 7.073
_cell_length_c 3.120
_cell_angle_alpha 77.25
_cell_angle_beta 77.26
_cell_angle_gamma 25.49
loop_
_space_group_symop_operation_xyz
'x,y,z'
loop_
_atom_site_label
_atom_site_type_symbol
_atom_site_fract_x
_atom_site_fract_y
_atom_site_fract_z
Ca1 Ca 0.665 0.665 0.335
Ag1 Ag 0.987 0.987 0.013
Ta1 Ta 0.348 0.348 0.652
# raw total energy = -15.4 eV per formula unit


(4)
# SbP3Br (PBE-GGA, relaxed)
data_SbP3Br
_space_group_name_H-M_alt 'P 1'
_space_group_IT_number 1
_cell_length_a 5.115
_cell_length_b 5.115
_cell_length_c 5.115
_cell_angle_alpha 90.00
_cell_angle_beta 90.00
_cell_angle_gamma 90.00
loop_
_space_group_symop_operation_xyz
'x,y,z'
loop_
_atom_site_label
_atom_site_type_symbol
_atom_site_fract_x
_atom_site_fract_y
_atom_site_fract_z
Sb1 Sb 0.000 0.000 0.000
Br1 Br 0.500 0.500 0.500
P1 P 0.000 0.500 0.000
P2 P 0.000 0.000 0.500
P3 P 0.500 0.000 0.000
# E_form (uncorrected) = 1.27 eV/atom


(5)
# HfTi2SnB (PBE-GGA, relaxed)
data_HfTi2SnB
_space_group_name_H-M_alt 'P 1'
_space_group_IT_number 1
_cell_length_a 4.350
_cell_length_b 4.350
_cell_length_c 4.556
_cell_angle_alpha 90.00
_cell_angle_beta 90.00
_cell_angle_gamma 90.00
loop_
_space_group_symop_operation_xyz
'x,y,z'
loop_
_atom_site_label
_atom_site_type_symbol
_atom_site_fract_x
_atom_site_fract_y
_atom_site_fract_z
B1 B 0.000 0.000 0.000
Hf1 Hf 0.000 0.000 0.500
Sn1 Sn 0.500 0.500 0.500
Ti1 Ti 0.000 0.500 0.000
Ti2 Ti 0.500 0.000 0.000
# raw total energy = -38.7 eV per formula unit


(6)
# Pm4HoTm2 (PBE-GGA, relaxed)
data_Pm4HoTm2
_space_group_name_H-M_alt 'P 1'
_space_group_IT_number 1
_cell_length_a 6.219
_cell_length_b 6.595
_cell_length_c 11.539
_cell_angle_alpha 90.00
_cell_angle_beta 104.90
_cell_angle_gamma 90.00
loop_
_space_group_symop_operation_xyz
'x,y,z'
loop_
_atom_site_label
_atom_site_type_symbol
_atom_site_fract_x
_atom_site_fract_y
_atom_site_fract_z
Pm1 Pm 0.648 0.509 0.285
Pm2 Pm 0.042 0.750 0.865
Pm3 Pm 0.958 0.250 0.135
Pm4 Pm 0.648 0.991 0.285
Pm5 Pm 0.850 0.250 0.549
Pm6 Pm 0.352 0.009 0.715
Pm7 Pm 0.352 0.491 0.715
Pm8 Pm 0.150 0.750 0.451
Ho1 Ho 0.152 0.750 0.164
Ho2 Ho 0.848 0.250 0.836
Tm1 Tm 0.610 0.750 0.995
Tm2 Tm 0.390 0.250 0.005
Tm3 Tm 0.289 0.250 0.423
Tm4 Tm 0.711 0.750 0.577
# raw total energy = -31.6 eV per formula unit


(7)
# Li2CuCO4 (PBE-GGA, relaxed)
data_Li2CuCO4
_space_group_name_H-M_alt 'P 1'
_space_group_IT_number 1
_cell_length_a 5.028
_cell_length_b 7.476
_cell_length_c 10.762
_cell_angle_alpha 75.23
_cell_angle_beta 90.00
_cell_angle_gamma 90.00
loop_
_space_group_symop_operation_xyz
'x,y,z'
loop_
_atom_site_label
_atom_site_type_symbol
_atom_site_fract_x
_atom_site_fract_y
_atom_site_fract_z
C1 C 0.178 0.838 0.947
C2 C 0.322 0.838 0.447
C3 C 0.678 0.162 0.553
C4 C 0.822 0.162 0.053
O1 O 0.319 0.954 0.861
O2 O 0.181 0.954 0.361
O3 O 0.926 0.827 0.939
O4 O 0.574 0.827 0.439
O5 O 0.189 0.734 0.545
O6 O 0.653 0.654 0.735
O7 O 0.311 0.734 0.045
O8 O 0.847 0.654 0.235
O9 O 0.153 0.346 0.765
O10 O 0.689 0.266 0.955
O11 O 0.347 0.346 0.265
O12 O 0.811 0.266 0.455
O13 O 0.426 0.173 0.561
O14 O 0.074 0.173 0.061
O15 O 0.819 0.046 0.639
O16 O 0.681 0.046 0.139
Cu1 Cu 0.844 0.448 0.809
Cu2 Cu 0.344 0.552 0.691
Cu3 Cu 0.656 0.448 0.309
Cu4 Cu 0.156 0.552 0.191
Li1 Li 0.665 0.876 0.800
Li2 Li 0.835 0.876 0.300
Li3 Li 0.823 0.800 0.581
Li4 Li 0.677 0.800 0.081
Li5 Li 0.323 0.200 0.919
Li6 Li 0.177 0.200 0.419
Li7 Li 0.165 0.124 0.700
Li8 Li 0.335 0.124 0.200
# E_form (uncorrected) = -1.48 eV/atom


(8)
# NpFe2H8Pd (PBE-GGA, relaxed)
data_NpFe2H8Pd
_space_group_name_H-M_alt 'P 1'
_space_group_IT_number 1
_cell_length_a 4.384
_cell_length_b 4.384
_cell_length_c 6.148
_cell_angle_alpha 90.00
_cell_angle_beta 90.00
_cell_angle_gamma 120.00
loop_
_space_group_symop_operation_xyz
'x,y,z'
loop_
_atom_site_label
_atom_site_type_symbol
_atom_site_fract_x
_atom_site_fract_y
_atom_site_fract_z
Np1 Np 0.000 0.000 0.500
Fe1 Fe 0.333 0.667 0.616
Fe2 Fe 0.667 0.333 0.384
H1 H 0.177 0.355 0.811
H2 H 0.177 0.823 0.811
H3 H 0.645 0.823 0.811
H4 H 0.355 0.177 0.189
H5 H 0.667 0.333 0.639
H6 H 0.333 0.667 0.361
H7 H 0.823 0.645 0.189
H8 H 0.823 0.177 0.189
Pd1 Pd 0.000 0.000 0.000
# raw total energy = -60.7 eV per formula unit